[1]
First-principles (GGA-PBE) data for a relaxed structure of ScTiTeO6, as listed in the Alexandria database.

Summary:
**Density of states at the Fermi level**: 8.973 states/eV/cell
**Energy relative to the elements, uncorrected**: -2.268 eV per atom
**Size of the total moment**: 0.000 μB per formula unit

a b c (Å): 5.2241 5.2241 9.1559
angles (deg): 90.00 90.00 120.00
Space group P-31c (No. 163)
Inequivalent atoms, fractional coordinates:
Sc: 0.0000 0.0000 0.0000 x2
Ti: 0.3333 0.6667 0.2500 x2
Te: 0.3333 0.6667 0.7500 x2
O: 0.0078 0.3478 0.1334 x12

***

[2]
First-principles (GGA-PBE) data for a relaxed structure of MnFeH, as listed in the Alexandria database.

Summary:
**Energy relative to the lowest polymorph listed for this composition**: 22 meV/atom
**Density of states at the Fermi level**: 5.092 states/eV/cell
**Size of the total moment**: 0.029 μB per formula unit

a b c (Å): 2.526 4.437 4.486
angles (deg): 99.13 90.10 106.47
Space group P-1 (No. 2)
Inequivalent atoms, fractional coordinates:
Mn: 0.116 0.232 0.367 x2
Fe: 0.384 0.769 0.126 x2
H: 0.248 0.496 0.747 x2

***

[3]
First-principles (GGA-PBE) data for a relaxed structure of Sm2MgCd12Ag3, as listed in the Alexandria database.

Summary:
**Formation energy**: -1.3 kJ per mole of atoms
**Density of states at the Fermi level**: 33.228 states/eV/cell
**Size of the total moment**: 0.000 μB per formula unit

a b c (Å): 10.1676 10.1676 14.3070
angles (deg): 90.00 90.00 120.00
Space group R-3m (No. 166, hexagonal axes)
Inequivalent atoms, fractional coordinates:
Sm: 0.0000 0.0000 0.2343 x6
Mg: 0.0000 0.0000 0.5000 x3
Cd: 0.0066 0.5033 0.2004 x18
Cd: 0.0418 0.5209 0.6008 x18
Ag: 0.0000 0.5000 0.0000 x9

***

The highest size of the total moment belongs to which entry? MnFeH

***

Which of these has the highest density of states at the Fermi level? Sm2MgCd12Ag3

***

Copy entry 2 word for word.
First-principles (GGA-PBE) data for a relaxed structure of MnFeH, as listed in the Alexandria database.

Summary:
**Energy relative to the lowest polymorph listed for this composition**: 22 meV/atom
**Density of states at the Fermi level**: 5.092 states/eV/cell
**Size of the total moment**: 0.029 μB per formula unit

a b c (Å): 2.526 4.437 4.486
angles (deg): 99.13 90.10 106.47
Space group P-1 (No. 2)
Inequivalent atoms, fractional coordinates:
Mn: 0.116 0.232 0.367 x2
Fe: 0.384 0.769 0.126 x2
H: 0.248 0.496 0.747 x2